1.
# InBrCl2 (PBE, optimized geometry)
# final energy	-2.469	eV per atom
# spin magnetization	0.021	μB/atom
# volume	26.560	A^3/atom
# formation energy without anion corrections	-1.77	eV per formula unit
data_InBrCl2
_cell_length_a 4.1402
_cell_length_b 4.1402
_cell_length_c 21.4701
_cell_angle_alpha 90.00
_cell_angle_beta 90.00
_cell_angle_gamma 120.00
_space_group_name_H-M_alt 'R 3 m'
_space_group_IT_number 160
_space_group_name_Hall 'R 3 -2"'
loop_
_atom_site_label
_atom_site_type_symbol
_atom_site_fract_x
_atom_site_fract_y
_atom_site_fract_z
_atom_site_occupancy
In1 In 0.0000 0.0000 0.0000 1
Br1 Br 0.0000 0.0000 0.7351 1
Cl1 Cl 0.0000 0.0000 0.2699 1
Cl2 Cl 0.0000 0.0000 0.4928 1

2.
# InBrCl2 (PBE, optimized geometry)
# final energy	-2.372	eV per atom
# spin magnetization	0.000	μB/atom
# volume	30.126	A^3/atom
# formation energy without anion corrections	-1.38	eV per formula unit
data_InBrCl2
_cell_length_a 4.7928
_cell_length_b 4.8188
_cell_length_c 5.2175
_cell_angle_alpha 90.00
_cell_angle_beta 90.00
_cell_angle_gamma 90.00
_space_group_name_H-M_alt 'P m m 2'
_space_group_IT_number 25
_space_group_name_Hall 'P 2 -2'
loop_
_atom_site_label
_atom_site_type_symbol
_atom_site_fract_x
_atom_site_fract_y
_atom_site_fract_z
_atom_site_occupancy
In1 In 0.0000 0.0000 0.0000 1
Br1 Br 0.5000 0.5000 0.2044 1
Cl1 Cl 0.0000 0.0000 0.4995 1
Cl2 Cl 0.5000 0.5000 0.6962 1

3.
# In2Br2Cl (PBE, optimized geometry)
# final energy	-2.794	eV per atom
# spin magnetization	0.000	μB/atom
# volume	31.610	A^3/atom
# formation energy without anion corrections	-3.30	eV per formula unit
data_In2Br2Cl
_cell_length_a 18.9460
_cell_length_b 3.9633
_cell_length_c 4.3224
_cell_angle_alpha 90.00
_cell_angle_beta 103.12
_cell_angle_gamma 90.00
_space_group_name_H-M_alt 'C 1 m 1'
_space_group_IT_number 8
_space_group_name_Hall 'C -2y'
loop_
_atom_site_label
_atom_site_type_symbol
_atom_site_fract_x
_atom_site_fract_y
_atom_site_fract_z
_atom_site_occupancy
In1 In 0.0000 0.0000 0.0000 1
In2 In 0.2418 0.5000 0.7424 1
Br1 Br 0.1875 0.0000 0.1886 1
Br2 Br 0.3614 0.0000 0.8610 1
Cl1 Cl 0.0403 0.5000 0.5414 1

4.
# InBr4Cl (PBE, optimized geometry)
# final energy	-1.638	eV per atom
# spin magnetization	0.005	μB/atom
# volume	28.768	A^3/atom
# formation energy without anion corrections	1.45	eV per formula unit
data_InBr4Cl
_cell_length_a 8.8384
_cell_length_b 8.8384
_cell_length_c 8.8384
_cell_angle_alpha 90.00
_cell_angle_beta 90.00
_cell_angle_gamma 90.00
_space_group_name_H-M_alt 'F -4 3 m'
_space_group_IT_number 216
_space_group_name_Hall 'F -4 2 3'
loop_
_atom_site_label
_atom_site_type_symbol
_atom_site_fract_x
_atom_site_fract_y
_atom_site_fract_z
_atom_site_occupancy
In1 In 0.0000 0.0000 0.0000 1
Br1 Br 0.1245 0.1245 0.6245 1
Cl1 Cl 0.2500 0.2500 0.2500 1

5.
# InBrCl2 (PBE, optimized geometry)
# final energy	-2.457	eV per atom
# spin magnetization	0.000	μB/atom
# volume	42.486	A^3/atom
# formation energy without anion corrections	-1.73	eV per formula unit
data_InBrCl2
_cell_length_a 5.0676
_cell_length_b 5.0676
_cell_length_c 22.9245
_cell_angle_alpha 90.00
_cell_angle_beta 90.00
_cell_angle_gamma 120.00
_space_group_name_H-M_alt 'R -3 m'
_space_group_IT_number 166
_space_group_name_Hall '-R 3 2"'
loop_
_atom_site_label
_atom_site_type_symbol
_atom_site_fract_x
_atom_site_fract_y
_atom_site_fract_z
_atom_site_occupancy
In1 In 0.0000 0.0000 0.0000 1
Br1 Br 0.0000 0.0000 0.5000 1
Cl1 Cl 0.0000 0.0000 0.3944 1

6.
# In3BrCl2 (PBE, optimized geometry)
# final energy	-2.987	eV per atom
# spin magnetization	0.000	μB/atom
# volume	43.227	A^3/atom
# formation energy without anion corrections	-4.34	eV per formula unit
data_In3BrCl2
_cell_length_a 16.9464
_cell_length_b 9.6558
_cell_length_c 6.3402
_cell_angle_alpha 90.00
_cell_angle_beta 90.00
_cell_angle_gamma 90.00
_space_group_name_H-M_alt 'C m c m'
_space_group_IT_number 63
_space_group_name_Hall '-C 2c 2'
loop_
_atom_site_label
_atom_site_type_symbol
_atom_site_fract_x
_atom_site_fract_y
_atom_site_fract_z
_atom_site_occupancy
In1 In 0.0000 0.1783 0.2500 1
In2 In 0.1682 0.3432 0.7500 1
Br1 Br 0.0000 0.2336 0.7500 1
Cl1 Cl 0.1358 0.3655 0.2500 1

7.
# InBrCl2 (PBE, optimized geometry)
# final energy	-2.454	eV per atom
# spin magnetization	0.020	μB/atom
# volume	27.080	A^3/atom
# formation energy without anion corrections	-1.71	eV per formula unit
data_InBrCl2
_cell_length_a 4.1082
_cell_length_b 4.1082
_cell_length_c 22.2334
_cell_angle_alpha 90.00
_cell_angle_beta 90.00
_cell_angle_gamma 120.00
_space_group_name_H-M_alt 'R -3 m'
_space_group_IT_number 166
_space_group_name_Hall '-R 3 2"'
loop_
_atom_site_label
_atom_site_type_symbol
_atom_site_fract_x
_atom_site_fract_y
_atom_site_fract_z
_atom_site_occupancy
In1 In 0.0000 0.0000 0.0000 1
Br1 Br 0.0000 0.0000 0.5000 1
Cl1 Cl 0.0000 0.0000 0.2729 1

8.
# InBrCl2 (PBE, optimized geometry)
# final energy	-2.296	eV per atom
# spin magnetization	0.000	μB/atom
# volume	29.800	A^3/atom
# formation energy without anion corrections	-1.08	eV per formula unit
data_InBrCl2
_cell_length_a 7.1258
_cell_length_b 8.2005
_cell_length_c 5.3375
_cell_angle_alpha 90.00
_cell_angle_beta 130.15
_cell_angle_gamma 90.00
_space_group_name_H-M_alt 'C 1 2/m 1'
_space_group_IT_number 12
_space_group_name_Hall '-C 2y'
loop_
_atom_site_label
_atom_site_type_symbol
_atom_site_fract_x
_atom_site_fract_y
_atom_site_fract_z
_atom_site_occupancy
In1 In 0.0000 0.0000 0.0000 1
Br1 Br 0.0000 0.5000 0.0000 1
Cl1 Cl 0.2500 0.2500 0.5000 1

9.
# InBr2Cl6 (PBE, optimized geometry)
# final energy	-2.209	eV per atom
# spin magnetization	0.084	μB/atom
# volume	33.844	A^3/atom
# formation energy without anion corrections	-2.72	eV per formula unit
data_InBr2Cl6
_cell_length_a 4.0948
_cell_length_b 8.6255
_cell_length_c 9.1803
_cell_angle_alpha 109.96
_cell_angle_beta 91.00
_cell_angle_gamma 91.23
_space_group_name_H-M_alt 'P -1'
_space_group_IT_number 2
_space_group_name_Hall '-P 1'
loop_
_atom_site_label
_atom_site_type_symbol
_atom_site_fract_x
_atom_site_fract_y
_atom_site_fract_z
_atom_site_occupancy
In1 In 0.0000 0.0000 0.0000 1
Br1 Br 0.4811 0.9481 0.7763 1
Cl1 Cl 0.0270 0.2938 0.0412 1
Cl2 Cl 0.2855 0.4447 0.6444 1
Cl3 Cl 0.3591 0.2475 0.7116 1

10.
# InBrCl2 (PBE, optimized geometry)
# final energy	-2.925	eV per atom
# spin magnetization	0.000	μB/atom
# volume	32.939	A^3/atom
# formation energy without anion corrections	-3.60	eV per formula unit
data_InBrCl2
_cell_length_a 5.4399
_cell_length_b 12.8869
_cell_length_c 3.7589
_cell_angle_alpha 90.00
_cell_angle_beta 90.00
_cell_angle_gamma 90.00
_space_group_name_H-M_alt 'C m m m'
_space_group_IT_number 65
_space_group_name_Hall '-C 2 2'
loop_
_atom_site_label
_atom_site_type_symbol
_atom_site_fract_x
_atom_site_fract_y
_atom_site_fract_z
_atom_site_occupancy
In1 In 0.0000 0.0000 0.0000 1
Br1 Br 0.0000 0.5000 0.0000 1
Cl1 Cl 0.0000 0.1354 0.5000 1

11.
# In5Br4Cl3 (PBE, optimized geometry)
# final energy	-2.932	eV per atom
# spin magnetization	0.000	μB/atom
# volume	34.326	A^3/atom
# formation energy without anion corrections	-9.26	eV per formula unit
data_In5Br4Cl3
_cell_length_a 15.0573
_cell_length_b 5.1623
_cell_length_c 11.8312
_cell_angle_alpha 90.00
_cell_angle_beta 116.39
_cell_angle_gamma 90.00
_space_group_name_H-M_alt 'C 1 2/m 1'
_space_group_IT_number 12
_space_group_name_Hall '-C 2y'
loop_
_atom_site_label
_atom_site_type_symbol
_atom_site_fract_x
_atom_site_fract_y
_atom_site_fract_z
_atom_site_occupancy
In1 In 0.0000 0.0000 0.0000 1
In2 In 0.1080 0.5000 0.6870 1
In3 In 0.1304 0.5000 0.3334 1
Br1 Br 0.0924 0.0000 0.8532 1
Br2 Br 0.1497 0.0000 0.5381 1
Cl1 Cl 0.0000 0.5000 0.0000 1
Cl2 Cl 0.1692 0.0000 0.1979 1

12.
# InBrCl2 (PBE, optimized geometry)
# final energy	-2.337	eV per atom
# spin magnetization	0.000	μB/atom
# volume	41.440	A^3/atom
# formation energy without anion corrections	-1.24	eV per formula unit
data_InBrCl2
_cell_length_a 3.9389
_cell_length_b 10.1435
_cell_length_c 8.2975
_cell_angle_alpha 90.00
_cell_angle_beta 90.00
_cell_angle_gamma 90.00
_space_group_name_H-M_alt 'C m m 2'
_space_group_IT_number 35
_space_group_name_Hall 'C 2 -2'
loop_
_atom_site_label
_atom_site_type_symbol
_atom_site_fract_x
_atom_site_fract_y
_atom_site_fract_z
_atom_site_occupancy
In1 In 0.0000 0.0000 0.0000 1
Br1 Br 0.0000 0.5000 0.2264 1
Cl1 Cl 0.0000 0.0000 0.4829 1
Cl2 Cl 0.0000 0.5000 0.7913 1